Entry from Alexandria: an optimized crystal structure of MgZn2Sb2 (PBEsol).

Cell and atoms, written as CIF:
```
data_MgZn2Sb2
_chemical_formula_sum 'Mg1 Zn2 Sb2'
_cell_length_a 4.3027
_cell_length_b 4.3027
_cell_length_c 7.1839
_cell_angle_alpha 90.00
_cell_angle_beta 90.00
_cell_angle_gamma 120.00
_space_group_name_H-M_alt 'P -3 m 1'
_space_group_IT_number 164
_space_group_name_Hall '-P 3 2"'
loop_
_atom_site_label
_atom_site_type_symbol
_atom_site_fract_x
_atom_site_fract_y
_atom_site_fract_z
Mg1 Mg 0.0000 0.0000 0.0000
Zn1 Zn 0.3333 0.6667 0.6168
Sb1 Sb 0.3333 0.6667 0.2354
```

Density of states at the Fermi level: 0.97 states/eV/f.u.
V: 23.04 Å³/atom
Formation energy (no corrections): -0.1126 eV/atom